The following is a PBE-GGA calculation of a geometry-optimized Tm2Re3Ir structure, from OQMD via LeMat-Bulk.

Space group = P6_3/mmc
Calculated formation energy = -44.0 kJ/mol of atoms
Magnetization = 0.00 μB per atom

Geometry as POSCAR:
```
Tm2Re3Ir
1.0
5.231 0.000 0.000
-2.616 4.530 0.000
0.000 0.000 9.158
Ir Re Tm
2 6 4
Cartesian
0.000 0.000 0.000
0.000 0.000 4.579
0.000 1.543 2.289
-1.279 3.759 2.289
1.279 3.759 2.289
1.337 0.772 6.868
3.895 0.772 6.868
2.616 2.987 6.868
2.616 1.510 0.575
2.616 1.510 4.004
0.000 3.020 5.154
0.000 3.020 8.582
```

---

The following is a PBE-GGA calculation of a geometry-optimized Tm2ReIr3 structure, from OQMD via LeMat-Bulk.

Space group = P6_3/mmc
Calculated formation energy = -70.0 kJ/mol of atoms
Magnetization = 0.00 μB per atom

Geometry as POSCAR:
```
Tm2ReIr3
1.0
5.429 0.000 0.000
-2.715 4.702 0.000
0.000 0.000 8.404
Ir Re Tm
6 2 4
Cartesian
0.000 1.600 2.101
-1.329 3.902 2.101
1.329 3.902 2.101
1.385 0.800 6.303
4.044 0.800 6.303
2.715 3.102 6.303
0.000 0.000 0.000
0.000 0.000 4.202
2.715 1.567 0.533
2.715 1.567 3.669
0.000 3.135 4.736
0.000 3.135 7.871
```

---

The lowest calculated formation energy belongs to which entry?
Tm2ReIr3